No. 1
DFT (PBE) results for a geometry-optimized PrTlRh structure.

a b c (Å): 3.7180 4.7663 4.7663
angles (deg): 120.00 90.00 90.00
Closest atoms and distances in Å follow each position.
Element x y z (fractional)
Tl1 0.1668 0.0000 0.0000  3 Rh 2.75
Pr1 0.6667 0.6667 0.3333  6 Rh 3.32, 6 Tl 3.32, 2 Pr 3.72
Rh1 0.1665 0.3333 0.6667  3 Tl 2.75

Output
- Theoretical density: 10.17 g/cm³
- Uncorrected energy: -15.5 eV/cell
- Density of states at the Fermi level: 2.7 states/eV per cell
- Formation energy: -0.35 eV/atom

No. 2
DFT (PBE) results for a geometry-optimized Pr4TlRh structure.

a b c (Å): 10.0648 10.0648 10.0648
angles (deg): 60.00 60.00 60.00
Closest atoms and distances in Å follow each position.
Element x y z (fractional)
Rh1 0.6079 0.1764 0.6079  6 Pr 2.94-2.95
Rh2 0.6079 0.6079 0.1764  6 Pr 2.94-2.95
Rh3 0.1764 0.6079 0.6079  6 Pr 2.94-2.95
Rh4 0.6079 0.6079 0.6079  6 Pr 2.94-2.95
Pr1 0.5592 0.5592 0.9408  2 Rh 2.94
Pr2 0.5592 0.9408 0.9408  2 Rh 2.94
Pr3 0.8099 0.8099 0.1901  2 Tl 3.36, 6 Pr 3.60-3.75, 2 Rh 3.60
Pr4 0.5592 0.9408 0.5592  2 Rh 2.94
Pr5 0.9408 0.5592 0.5592  2 Rh 2.94
Pr6 0.1901 0.8099 0.1901  2 Tl 3.36, 6 Pr 3.60-3.75, 2 Rh 3.60
Pr7 0.8099 0.1901 0.8099  2 Tl 3.36, 6 Pr 3.60-3.75, 2 Rh 3.60
Pr8 0.9408 0.9408 0.5592  2 Rh 2.94
Pr9 0.4010 0.4010 0.4010  3 Rh 2.95
Pr10 0.1901 0.8099 0.8099  2 Tl 3.36, 6 Pr 3.60-3.75, 2 Rh 3.60
Pr11 0.1901 0.1901 0.8099  2 Tl 3.36, 6 Pr 3.60-3.75, 2 Rh 3.60
Pr12 0.7970 0.4010 0.4010  3 Rh 2.95
Pr13 0.4010 0.4010 0.7970  3 Rh 2.95
Pr14 0.8099 0.1901 0.1901  2 Tl 3.36, 6 Pr 3.60-3.75, 2 Rh 3.60
Pr15 0.9408 0.5592 0.9408  2 Rh 2.94
Pr16 0.4010 0.7970 0.4010  3 Rh 2.95
Tl1 0.1660 0.1660 0.1660  9 Pr 3.36-3.62, 3 Tl 3.38
Tl2 0.1660 0.1660 0.5019  9 Pr 3.36-3.62, 3 Tl 3.38
Tl3 0.1660 0.5019 0.1660  9 Pr 3.36-3.62, 3 Tl 3.38
Tl4 0.5019 0.1660 0.1660  9 Pr 3.36-3.62, 3 Tl 3.38

Output
- Theoretical density: 8.02 g/cm³
- Uncorrected energy: -125.5 eV/cell
- Density of states at the Fermi level: 19.9 states/eV per cell
- Formation energy: -0.42 eV/atom
- E above lowest polymorph: 0.000 eV per atom

No. 3
DFT (PBE) results for a geometry-optimized Pr12TlRh6 structure.

a b c (Å): 8.9179 8.9179 8.9179
angles (deg): 109.47 109.47 109.47
Closest atoms and distances in Å follow each position.
Element x y z (fractional)
Pr1 0.3055 0.4906 0.1852  3 Rh 2.76-3.08
Pr2 0.8148 0.3055 0.1203  3 Rh 2.76-3.08
Pr3 0.6945 0.5094 0.8148  3 Rh 2.76-3.08
Pr4 0.1852 0.6945 0.8797  3 Rh 2.76-3.08
Pr5 0.1203 0.8148 0.3055  3 Rh 2.76-3.08
Pr6 0.8797 0.1852 0.6945  3 Rh 2.76-3.08
Pr7 0.3055 0.1203 0.8148  3 Rh 2.76-3.08
Pr8 0.5094 0.8148 0.6945  3 Rh 2.76-3.08
Pr9 0.8148 0.6945 0.5094  3 Rh 2.76-3.08
Pr10 0.4906 0.1852 0.3055  3 Rh 2.76-3.08
Pr11 0.6945 0.8797 0.1852  3 Rh 2.76-3.08
Pr12 0.1852 0.3055 0.4906  3 Rh 2.76-3.08
Rh1 0.1309 0.6309 0.5000  1 Rh 2.70, 2 Pr 2.76
Rh2 0.5000 0.1309 0.6309  1 Rh 2.70, 2 Pr 2.76
Rh3 0.3691 0.5000 0.8691  1 Rh 2.70, 2 Pr 2.76
Rh4 0.6309 0.5000 0.1309  1 Rh 2.70, 2 Pr 2.76
Rh5 0.8691 0.3691 0.5000  1 Rh 2.70, 2 Pr 2.76
Rh6 0.5000 0.8691 0.3691  1 Rh 2.70, 2 Pr 2.76
Tl1 0.0000 0.0000 0.0000  12 Pr 3.68

Output
- Theoretical density: 7.64 g/cm³
- Uncorrected energy: -113.0 eV/cell
- Density of states at the Fermi level: 18.1 states/eV per cell
- Formation energy: -0.48 eV/atom

No. 4
DFT (PBE) results for a geometry-optimized Pr3Tl4Rh4 structure.

a b c (Å): 4.0041 8.2030 9.0431
angles (deg): 116.97 102.79 90.00
Closest atoms and distances in Å follow each position.
Element x y z (fractional)
Pr1 0.1152 0.1152 0.2304  6 Rh 3.07-3.14, 4 Tl 3.30
Pr2 0.0000 0.5000 0.0000  4 Rh 3.19
Pr3 0.8848 0.8848 0.7696  6 Rh 3.07-3.14, 4 Tl 3.30
Rh1 0.7642 0.2642 0.5284  6 Tl 2.78-2.92, 2 Pr 3.07
Rh2 0.5000 0.1973 0.0000  2 Tl 2.76
Rh3 0.2358 0.7358 0.4716  6 Tl 2.78-2.92, 2 Pr 3.07
Rh4 0.5000 0.8027 0.0000  2 Tl 2.76
Tl1 0.6676 0.4721 0.3351  4 Rh 2.76-2.92
Tl2 0.6676 0.8630 0.3351  4 Rh 2.76-2.92
Tl3 0.3324 0.5279 0.6649  4 Rh 2.76-2.92
Tl4 0.3324 0.1370 0.6649  4 Rh 2.76-2.92

Output
- Theoretical density: 10.70 g/cm³
- Uncorrected energy: -57.3 eV/cell
- Density of states at the Fermi level: 7.3 states/eV per cell
- Formation energy: -0.37 eV/atom

No. 5
DFT (PBE) results for a geometry-optimized PrTlRh structure.

a b c (Å): 3.5481 3.5481 6.1809
angles (deg): 106.68 106.68 90.00
Closest atoms and distances in Å follow each position.
Element x y z (fractional)
Pr1 0.9296 0.9296 0.8592  4 Rh 3.03, 1 Tl 3.26
Tl1 0.6414 0.6414 0.2828  4 Rh 2.95, 1 Pr 3.26
Rh1 0.2790 0.2790 0.5580  4 Tl 2.95, 4 Pr 3.03

Output
- Theoretical density: 10.47 g/cm³
- Uncorrected energy: -15.5 eV/cell
- Density of states at the Fermi level: 2.2 states/eV per cell
- Formation energy: -0.32 eV/atom

No. 6
DFT (PBE) results for a geometry-optimized PrTl2Rh structure.

a b c (Å): 4.7173 4.7173 9.4472
angles (deg): 104.46 104.46 90.00
Closest atoms and distances in Å follow each position.
Element x y z (fractional)
Rh1 0.7500 0.2500 0.5000  4 Tl 2.92, 4 Pr 3.04
Rh2 0.2500 0.7500 0.5000  4 Tl 2.92, 4 Pr 3.04
Tl1 0.3474 0.3474 0.6947  4 Rh 2.92
Tl2 0.5000 0.0000 0.0000  8 Tl 3.34-3.58, 4 Pr 3.44
Tl3 0.0000 0.5000 0.0000  8 Tl 3.34-3.58, 4 Pr 3.44
Tl4 0.6526 0.6526 0.3053  4 Rh 2.92
Pr1 0.1418 0.1418 0.2836  4 Rh 3.04, 4 Tl 3.34
Pr2 0.8582 0.8582 0.7164  4 Rh 3.04, 4 Tl 3.34

Output
- Theoretical density: 11.02 g/cm³
- Uncorrected energy: -36.5 eV/cell
- Density of states at the Fermi level: 6.1 states/eV per cell
- Formation energy: -0.35 eV/atom

No. 7
DFT (PBE) results for a geometry-optimized PrTlRh structure.

a b c (Å): 4.1995 6.9687 5.7088
angles (deg): 74.78 68.42 72.46
Closest atoms and distances in Å follow each position.
Element x y z (fractional)
Pr1 0.5702 0.6670 0.1926  5 Rh 3.05-3.09
Pr2 0.4298 0.3330 0.8074  5 Rh 3.05-3.09
Tl1 0.1746 0.9212 0.7296  3 Rh 2.83-3.04
Tl2 0.8254 0.0788 0.2704  3 Rh 2.83-3.04
Rh1 0.1416 0.3351 0.3817  1 Rh 2.71, 2 Tl 2.83
Rh2 0.8584 0.6649 0.6183  1 Rh 2.71, 2 Tl 2.83

Output
- Theoretical density: 10.20 g/cm³
- Uncorrected energy: -31.8 eV/cell
- Density of states at the Fermi level: 4.2 states/eV per cell
- Formation energy: -0.47 eV/atom

No. 8
DFT (PBE) results for a geometry-optimized Pr4TlRh structure.

a b c (Å): 6.2300 8.5846 8.4917
angles (deg): 113.70 102.96 106.39
Closest atoms and distances in Å follow each position.
Element x y z (fractional)
Pr1 0.6449 0.0700 0.3688  2 Rh 3.19-3.24, 2 Tl 3.33-3.36, 1 Pr 3.52
Pr2 0.6870 0.3448 0.1421  2 Rh 2.89-2.96
Pr3 0.3130 0.6552 0.8579  2 Rh 2.89-2.96
Pr4 0.2238 0.2988 0.3688  2 Rh 3.19-3.24, 2 Tl 3.33-3.36, 1 Pr 3.52
Pr5 0.0450 0.2028 0.8579  2 Rh 2.89-2.96
Pr6 0.7762 0.7012 0.6312  2 Rh 3.19-3.24, 2 Tl 3.33-3.36, 1 Pr 3.52
Pr7 0.9550 0.7972 0.1421  2 Rh 2.89-2.96
Pr8 0.3551 0.9300 0.6312  2 Rh 3.19-3.24, 2 Tl 3.33-3.36, 1 Pr 3.52
Rh1 0.2491 0.9991 0.9982  6 Pr 2.89-3.19, 2 Rh 3.12
Rh2 0.7509 0.0009 0.0018  6 Pr 2.89-3.19, 2 Rh 3.12
Tl1 0.3703 0.6203 0.2406  8 Pr 3.33-3.46
Tl2 0.6297 0.3797 0.7594  8 Pr 3.33-3.46

Output
- Theoretical density: 7.85 g/cm³
- Uncorrected energy: -62.0 eV/cell
- Density of states at the Fermi level: 13.5 states/eV per cell
- Formation energy: -0.36 eV/atom
- E above lowest polymorph: 0.062 eV per atom